KGe2Cl4 | PBE | optimized geometry

Results
Calculated volume, Å³/cell: 258.6
Total magnetization, Bohr magnetons per cell: 1.034
Formation energy from raw total energies, eV per atom: -0.714

abc: 6.954 6.954 6.954
angles: 108.49 108.49 111.45
Fractional coordinates of all 7 atoms:
1 K 0.000 0.000 0.000
2 Ge 0.250 0.750 0.500
3 Ge 0.750 0.250 0.500
4 Cl 0.161 0.346 0.508
5 Cl 0.346 0.839 0.185
6 Cl 0.654 0.161 0.815
7 Cl 0.839 0.654 0.492